A geometry-optimized CoGeO2 structure, computed with GGA+U.

Crystal system: trigonal
Calculated total energy, eV for the cell shown: -68.95
Mass density, g/cm3: 6.3
N(E_F), states/eV/atom: 0.13

Structure (CIF):
```
data_CoGeO2
_space_group_name_H-M_alt 'R -3 m'
_space_group_IT_number 166
_space_group_name_Hall '-R 3 2"'
_cell_length_a 2.8433
_cell_length_b 2.8433
_cell_length_c 18.4693
_cell_angle_alpha 90.00
_cell_angle_beta 90.00
_cell_angle_gamma 120.00
loop_
_atom_site_label
_atom_site_fract_x
_atom_site_fract_y
_atom_site_fract_z
_atom_site_occupancy
Co1 0.0000 0.0000 0.0000 1
Ge1 0.0000 0.0000 0.5000 1
O1 0.0000 0.0000 0.3868 1
```